4
Lattice="-4.537 1.368 0.253 -2.051 0.646 4.231 -1.079 4.382 1.469" Properties=species:S:1:pos:R:3 comment="SmScIrRu | the Alexandria database | PBE | optimized geometry" delta_e_f_ev_per_atom=-0.5594 crystal_system=cubic dos_at_fermi_per_ev_cell=3.04 pbc="T T T"
Sc -5.751 4.797 4.465
Ir -3.834 3.198 2.977
Ru 0.000 0.000 0.000
Sm -1.917 1.599 1.488